1.
# BaFeNiAg2 PBE optimized geometry
data_BaFeNiAg2
_symmetry_space_group_name_H-M 'P 1'
_symmetry_Int_Tables_number 1
_symmetry_space_group_name_Hall 'P 1'
_cell_length_a 5.706
_cell_length_b 4.838
_cell_length_c 5.706
_cell_angle_alpha 90.00
_cell_angle_beta 90.00
_cell_angle_gamma 90.00
loop_
_atom_site_label
_atom_site_type_symbol
_atom_site_fract_x
_atom_site_fract_y
_atom_site_fract_z
Ni1 Ni 0.500 0.500 0.500
Ba1 Ba 0.000 0.000 0.000
Ag1 Ag 0.000 0.000 0.500
Ag2 Ag 0.500 0.000 0.000
Fe1 Fe 0.000 0.500 0.000
# crystal system = tetragonal
# uncorrected energy = -2.1930 eV per atom


2.
# BaNaSn2Pd PBE optimized geometry
data_BaNaSn2Pd
_symmetry_space_group_name_H-M 'P 1'
_symmetry_Int_Tables_number 1
_symmetry_space_group_name_Hall 'P 1'
_cell_length_a 5.272
_cell_length_b 5.272
_cell_length_c 5.391
_cell_angle_alpha 90.00
_cell_angle_beta 90.00
_cell_angle_gamma 90.00
loop_
_atom_site_label
_atom_site_type_symbol
_atom_site_fract_x
_atom_site_fract_y
_atom_site_fract_z
Na1 Na 0.000 0.000 0.500
Ba1 Ba 0.500 0.500 0.500
Pd1 Pd 0.000 0.000 0.000
Sn1 Sn 0.000 0.500 0.000
Sn2 Sn 0.500 0.000 0.000
# crystal system = tetragonal
# uncorrected energy = -3.6798 eV per atom


3.
# Ta2ZnCr PBE optimized geometry
data_Ta2ZnCr
_symmetry_space_group_name_H-M 'P 1'
_symmetry_Int_Tables_number 1
_symmetry_space_group_name_Hall 'P 1'
_cell_length_a 4.777
_cell_length_b 4.777
_cell_length_c 5.137
_cell_angle_alpha 85.26
_cell_angle_beta 85.26
_cell_angle_gamma 33.39
loop_
_atom_site_label
_atom_site_type_symbol
_atom_site_fract_x
_atom_site_fract_y
_atom_site_fract_z
Cr1 Cr 0.750 0.750 0.750
Ta1 Ta 0.993 0.993 0.999
Ta2 Ta 0.507 0.507 0.501
Zn1 Zn 0.250 0.250 0.250
# crystal system = monoclinic
# uncorrected energy = -8.3437 eV per atom


4.
# RbCu2H3 PBE optimized geometry
data_RbCu2H3
_symmetry_space_group_name_H-M 'P 1'
_symmetry_Int_Tables_number 1
_symmetry_space_group_name_Hall 'P 1'
_cell_length_a 4.749
_cell_length_b 6.497
_cell_length_c 6.502
_cell_angle_alpha 104.54
_cell_angle_beta 90.00
_cell_angle_gamma 90.00
loop_
_atom_site_label
_atom_site_type_symbol
_atom_site_fract_x
_atom_site_fract_y
_atom_site_fract_z
Rb1 Rb 0.750 0.187 0.313
Rb2 Rb 0.250 0.813 0.687
Cu1 Cu 0.000 0.657 0.157
Cu2 Cu 0.500 0.343 0.843
Cu3 Cu 0.000 0.343 0.843
Cu4 Cu 0.500 0.657 0.157
H1 H 0.750 0.571 0.930
H2 H 0.250 0.429 0.070
H3 H 0.750 0.155 0.810
H4 H 0.250 0.845 0.190
H5 H 0.750 0.688 0.345
H6 H 0.250 0.312 0.655
# crystal system = monoclinic
# uncorrected energy = -3.2743 eV per atom


5.
# Pr10DyEr6 PBE optimized geometry
data_Pr10DyEr6
_symmetry_space_group_name_H-M 'P 1'
_symmetry_Int_Tables_number 1
_symmetry_space_group_name_Hall 'P 1'
_cell_length_a 6.936
_cell_length_b 9.881
_cell_length_c 9.881
_cell_angle_alpha 120.00
_cell_angle_beta 90.00
_cell_angle_gamma 90.00
loop_
_atom_site_label
_atom_site_type_symbol
_atom_site_fract_x
_atom_site_fract_y
_atom_site_fract_z
Pr1 Pr 0.818 0.724 0.724
Pr2 Pr 0.818 0.000 0.276
Pr3 Pr 0.818 0.276 0.000
Pr4 Pr 0.182 0.276 0.276
Pr5 Pr 0.182 0.000 0.724
Pr6 Pr 0.182 0.724 0.000
Pr7 Pr 0.500 0.333 0.667
Pr8 Pr 0.500 0.667 0.333
Pr9 Pr 0.000 0.667 0.333
Pr10 Pr 0.000 0.333 0.667
Dy1 Dy 0.500 0.000 0.000
Er1 Er 0.684 0.366 0.366
Er2 Er 0.684 0.000 0.634
Er3 Er 0.684 0.634 0.000
Er4 Er 0.316 0.634 0.634
Er5 Er 0.316 0.000 0.366
Er6 Er 0.316 0.366 0.000
# crystal system = trigonal
# uncorrected energy = -4.5647 eV per atom


6.
# HoTl2CuF6 PBE optimized geometry
data_HoTl2CuF6
_symmetry_space_group_name_H-M 'P 1'
_symmetry_Int_Tables_number 1
_symmetry_space_group_name_Hall 'P 1'
_cell_length_a 5.887
_cell_length_b 6.351
_cell_length_c 6.351
_cell_angle_alpha 120.00
_cell_angle_beta 90.00
_cell_angle_gamma 90.00
loop_
_atom_site_label
_atom_site_type_symbol
_atom_site_fract_x
_atom_site_fract_y
_atom_site_fract_z
Ho1 Ho 0.500 0.000 0.000
Tl1 Tl 0.026 0.333 0.667
Tl2 Tl 0.974 0.667 0.333
Cu1 Cu 0.000 0.000 0.000
F1 F 0.741 0.152 0.304
F2 F 0.741 0.152 0.848
F3 F 0.741 0.696 0.848
F4 F 0.259 0.848 0.152
F5 F 0.259 0.304 0.152
F6 F 0.259 0.848 0.696
# crystal system = trigonal
# E_form (uncorrected) = -2.47 eV/atom
# uncorrected energy = -4.9299 eV per atom


7.
# TcCl PBE optimized geometry
data_TcCl
_symmetry_space_group_name_H-M 'P 1'
_symmetry_Int_Tables_number 1
_symmetry_space_group_name_Hall 'P 1'
_cell_length_a 3.037
_cell_length_b 3.037
_cell_length_c 9.121
_cell_angle_alpha 90.00
_cell_angle_beta 90.00
_cell_angle_gamma 120.00
loop_
_atom_site_label
_atom_site_type_symbol
_atom_site_fract_x
_atom_site_fract_y
_atom_site_fract_z
Cl1 Cl 0.000 0.000 0.928
Cl2 Cl 0.667 0.333 0.322
Tc1 Tc 0.000 0.000 0.518
Tc2 Tc 0.667 0.333 0.732
# crystal system = trigonal
# E_form (uncorrected) = -0.13 eV/atom
# uncorrected energy = -6.2327 eV per atom
# relative energy among the computed polymorphs = 0.0 meV/atom


8.
# Al2FeTe PBE optimized geometry
data_Al2FeTe
_symmetry_space_group_name_H-M 'P 1'
_symmetry_Int_Tables_number 1
_symmetry_space_group_name_Hall 'P 1'
_cell_length_a 8.899
_cell_length_b 8.899
_cell_length_c 8.899
_cell_angle_alpha 20.00
_cell_angle_beta 20.00
_cell_angle_gamma 20.00
loop_
_atom_site_label
_atom_site_type_symbol
_atom_site_fract_x
_atom_site_fract_y
_atom_site_fract_z
Te1 Te 0.750 0.750 0.750
Fe1 Fe 0.250 0.250 0.250
Al1 Al 0.980 0.980 0.980
Al2 Al 0.520 0.520 0.520
# crystal system = trigonal
# E_form (uncorrected) = 0.16 eV/atom
# uncorrected energy = -4.6078 eV per atom


9.
# SrTa2Cr PBE optimized geometry
data_SrTa2Cr
_symmetry_space_group_name_H-M 'P 1'
_symmetry_Int_Tables_number 1
_symmetry_space_group_name_Hall 'P 1'
_cell_length_a 4.908
_cell_length_b 4.908
_cell_length_c 6.410
_cell_angle_alpha 83.24
_cell_angle_beta 83.24
_cell_angle_gamma 38.46
loop_
_atom_site_label
_atom_site_type_symbol
_atom_site_fract_x
_atom_site_fract_y
_atom_site_fract_z
Cr1 Cr 0.514 0.514 0.388
Sr1 Sr 0.760 0.760 0.739
Ta1 Ta 0.983 0.983 0.106
Ta2 Ta 0.242 0.242 0.266
# crystal system = monoclinic
# uncorrected energy = -7.9560 eV per atom
# relative energy among the computed polymorphs = 206.9 meV/atom


10.
# Ca2PdBr PBE optimized geometry
data_Ca2PdBr
_symmetry_space_group_name_H-M 'P 1'
_symmetry_Int_Tables_number 1
_symmetry_space_group_name_Hall 'P 1'
_cell_length_a 4.121
_cell_length_b 4.121
_cell_length_c 8.061
_cell_angle_alpha 75.19
_cell_angle_beta 75.19
_cell_angle_gamma 60.00
loop_
_atom_site_label
_atom_site_type_symbol
_atom_site_fract_x
_atom_site_fract_y
_atom_site_fract_z
Ca1 Ca 0.070 0.070 0.790
Ca2 Ca 0.264 0.264 0.207
Pd1 Pd 0.667 0.667 0.999
Br1 Br 0.499 0.499 0.504
# crystal system = trigonal
# E_form (uncorrected) = -1.04 eV/atom
# uncorrected energy = -3.7571 eV per atom
# relative energy among the computed polymorphs = 15.7 meV/atom


11.
# BaAlPb2F8 PBE optimized geometry
data_BaAlPb2F8
_symmetry_space_group_name_H-M 'P 1'
_symmetry_Int_Tables_number 1
_symmetry_space_group_name_Hall 'P 1'
_cell_length_a 4.578
_cell_length_b 5.915
_cell_length_c 7.676
_cell_angle_alpha 89.91
_cell_angle_beta 89.79
_cell_angle_gamma 90.39
loop_
_atom_site_label
_atom_site_type_symbol
_atom_site_fract_x
_atom_site_fract_y
_atom_site_fract_z
Ba1 Ba 0.000 0.000 0.500
Al1 Al 0.000 0.000 0.000
Pb1 Pb 0.498 0.500 0.761
Pb2 Pb 0.502 0.500 0.239
F1 F 0.205 0.863 0.176
F2 F 0.752 0.747 0.999
F3 F 0.793 0.135 0.177
F4 F 0.795 0.137 0.824
F5 F 0.248 0.253 0.001
F6 F 0.207 0.865 0.823
F7 F 0.513 0.752 0.499
F8 F 0.487 0.248 0.501
# crystal system = triclinic
# E_form (uncorrected) = -2.91 eV/atom
# uncorrected energy = -5.2459 eV per atom


12.
# NdEu2P PBE optimized geometry
data_NdEu2P
_symmetry_space_group_name_H-M 'P 1'
_symmetry_Int_Tables_number 1
_symmetry_space_group_name_Hall 'P 1'
_cell_length_a 3.931
_cell_length_b 3.931
_cell_length_c 10.914
_cell_angle_alpha 79.62
_cell_angle_beta 79.62
_cell_angle_gamma 60.00
loop_
_atom_site_label
_atom_site_type_symbol
_atom_site_fract_x
_atom_site_fract_y
_atom_site_fract_z
Eu1 Eu 0.113 0.113 0.660
Eu2 Eu 0.887 0.887 0.340
P1 P 0.500 0.500 0.500
Nd1 Nd 0.000 0.000 0.000
# crystal system = trigonal
# uncorrected energy = -8.0875 eV per atom


13.
# ScMn8B2 PBE optimized geometry
data_ScMn8B2
_symmetry_space_group_name_H-M 'P 1'
_symmetry_Int_Tables_number 1
_symmetry_space_group_name_Hall 'P 1'
_cell_length_a 4.298
_cell_length_b 5.857
_cell_length_c 5.857
_cell_angle_alpha 118.73
_cell_angle_beta 90.02
_cell_angle_gamma 90.02
loop_
_atom_site_label
_atom_site_type_symbol
_atom_site_fract_x
_atom_site_fract_y
_atom_site_fract_z
Sc1 Sc 0.500 0.000 0.000
Mn1 Mn 0.000 0.047 0.319
Mn2 Mn 0.000 0.319 0.047
Mn3 Mn 0.264 0.499 0.499
Mn4 Mn 0.500 0.276 0.724
Mn5 Mn 0.500 0.724 0.276
Mn6 Mn 0.736 0.501 0.501
Mn7 Mn 0.000 0.681 0.953
Mn8 Mn 0.000 0.953 0.681
B1 B 0.000 0.687 0.313
B2 B 0.000 0.313 0.687
# crystal system = orthorhombic
# uncorrected energy = -8.4030 eV per atom